Entry i
Compound: Pr2Dy3Ho2
Source: the Alexandria database
Functional: PBE
Structure: optimized geometry

Cell: 8.9774 8.9774 8.5788 Å, 118.39 118.39 22.60°
Last column: nearest neighbours and their distance in Å.
Fractional coordinates of all 7 atoms:
1 Pr 0.0672 0.0672 0.2209  3 Pr 3.36-3.52, 5 Dy 3.45-3.61, 2 Ho 3.63
2 Pr 0.9328 0.9328 0.7791  3 Pr 3.36-3.52, 5 Dy 3.45-3.61, 2 Ho 3.63
3 Dy 0.2885 0.2885 0.3750  5 Dy 3.34-3.52, 3 Pr 3.45-3.61, 3 Ho 3.56-3.61
4 Dy 0.5000 0.5000 0.5000  4 Dy 3.34-3.52, 2 Ho 3.57, 4 Pr 3.60
5 Dy 0.7115 0.7115 0.6250  5 Dy 3.34-3.52, 3 Pr 3.45-3.61, 3 Ho 3.56-3.61
6 Ho 0.3490 0.3490 0.0345  4 Ho 3.52-3.69, 4 Dy 3.56-3.61, 4 Pr 3.63-3.80
7 Ho 0.6510 0.6510 0.9655  4 Ho 3.52-3.69, 4 Dy 3.56-3.61, 4 Pr 3.63-3.80

Summary:
magnetic moment = 0.0 μB/f.u.
symmetry = C2/m

---

Entry ii
Compound: Pr2Dy3Ho2
Source: the Alexandria database
Functional: PBE
Structure: optimized geometry

Cell: 6.4208 12.5375 6.8894 Å, 90.00 122.33 90.00°
Last column: nearest neighbours and their distance in Å.
Fractional coordinates of all 14 atoms:
1 Pr 0.0872 0.1150 0.4351  5 Dy 3.30-3.67, 1 Pr 3.38, 4 Ho 3.48-3.56
2 Pr 0.0872 0.3850 0.9351  5 Dy 3.30-3.67, 1 Pr 3.38, 4 Ho 3.48-3.56
3 Pr 0.9128 0.6150 0.0649  5 Dy 3.30-3.67, 1 Pr 3.38, 4 Ho 3.48-3.56
4 Pr 0.9128 0.8850 0.5649  5 Dy 3.30-3.67, 1 Pr 3.38, 4 Ho 3.48-3.56
5 Dy 0.5000 0.0000 0.0000  4 Dy 3.53-3.78, 4 Ho 3.60-3.65, 4 Pr 3.63-3.64
6 Dy 0.4996 0.2119 0.3370  3 Pr 3.30-3.67, 3 Ho 3.33-3.64, 3 Dy 3.53-3.57
7 Dy 0.4996 0.2881 0.8370  3 Pr 3.30-3.67, 3 Ho 3.33-3.64, 3 Dy 3.53-3.57
8 Dy 0.5000 0.5000 0.5000  4 Dy 3.53-3.78, 4 Ho 3.60-3.65, 4 Pr 3.63-3.64
9 Dy 0.5004 0.7119 0.1630  3 Pr 3.30-3.67, 3 Ho 3.33-3.64, 3 Dy 3.53-3.57
10 Dy 0.5004 0.7881 0.6630  3 Pr 3.30-3.67, 3 Ho 3.33-3.64, 3 Dy 3.53-3.57
11 Ho 0.0806 0.6146 0.6485  5 Dy 3.33-3.65, 1 Ho 3.35, 4 Pr 3.48-3.56
12 Ho 0.0806 0.8854 0.1485  5 Dy 3.33-3.65, 1 Ho 3.35, 4 Pr 3.48-3.56
13 Ho 0.9194 0.1146 0.8515  5 Dy 3.33-3.65, 1 Ho 3.35, 4 Pr 3.48-3.56
14 Ho 0.9194 0.3854 0.3515  5 Dy 3.33-3.65, 1 Ho 3.35, 4 Pr 3.48-3.56

Summary:
magnetic moment = 0.0 μB/f.u.
symmetry = P2_1/c

---

In terms of stability, entry i leads; the second structure lies 27 meV per atom higher.

---

Entry i
Compound: PrDyHo4
Source: the Alexandria database
Functional: PBE
Structure: optimized geometry

Cell: 6.5869 6.5869 6.5869 Å, 60.00 60.00 60.00°
Last column: nearest neighbours and their distance in Å.
Fractional coordinates of all 6 atoms:
1 Pr 0.0000 0.0000 0.0000  12 Ho 3.86, 4 Dy 4.03
2 Dy 0.7500 0.7500 0.7500  12 Ho 3.86, 4 Pr 4.03
3 Ho 0.3755 0.3755 0.3755  6 Ho 3.28-3.31
4 Ho 0.3755 0.3755 0.8736  6 Ho 3.28-3.31
5 Ho 0.3755 0.8736 0.3755  6 Ho 3.28-3.31
6 Ho 0.8736 0.3755 0.3755  6 Ho 3.28-3.31

Summary:
magnetic moment = 1.2 μB/f.u.
symmetry = F-43m

---

Entry ii
Compound: PrDyHo4
Source: the Alexandria database
Functional: PBE
Structure: optimized geometry

Cell: 3.5561 6.1587 9.4147 Å, 77.26 79.22 73.38°
Last column: nearest neighbours and their distance in Å.
Fractional coordinates of all 6 atoms:
1 Pr 0.0000 0.0000 0.0000  2 Pr 3.56, 10 Ho 3.56-3.58
2 Dy 0.0000 0.5000 0.5000  10 Ho 3.54-3.55, 2 Dy 3.56
3 Ho 0.3322 0.9996 0.3362  7 Ho 3.51-3.58, 3 Dy 3.54-3.55, 2 Pr 3.58
4 Ho 0.3329 0.5022 0.8310  2 Dy 3.54-3.55, 7 Ho 3.55-3.59, 3 Pr 3.56-3.57
5 Ho 0.6671 0.4978 0.1690  2 Dy 3.54-3.55, 7 Ho 3.55-3.59, 3 Pr 3.56-3.57
6 Ho 0.6678 0.0004 0.6638  7 Ho 3.51-3.58, 3 Dy 3.54-3.55, 2 Pr 3.58

Summary:
magnetic moment = 0.0 μB/f.u.
symmetry = P-1

---

Entry iii
Compound: PrDyHo4
Source: the Alexandria database
Functional: PBE
Structure: optimized geometry

Cell: 6.8446 6.8446 9.8568 Å, 90.00 90.00 121.81°
Last column: nearest neighbours and their distance in Å.
Fractional coordinates of all 12 atoms:
1 Pr 0.1760 0.8240 0.7500  2 Ho 3.10, 2 Dy 3.24
2 Pr 0.8240 0.1760 0.2500  2 Ho 3.10, 2 Dy 3.24
3 Dy 0.0000 0.0000 0.0000  2 Pr 3.24, 4 Ho 3.24
4 Dy 0.0000 0.0000 0.5000  2 Pr 3.24, 4 Ho 3.24
5 Ho 0.1552 0.3604 0.7500  1 Pr 3.10, 2 Ho 3.22-3.43, 2 Dy 3.24
6 Ho 0.3464 0.6536 0.0691  8 Ho 3.57-3.92, 3 Pr 3.75-3.78, 2 Dy 3.86
7 Ho 0.3464 0.6536 0.4309  8 Ho 3.57-3.92, 3 Pr 3.75-3.78, 2 Dy 3.86
8 Ho 0.3604 0.1552 0.2500  1 Pr 3.10, 2 Ho 3.22-3.43, 2 Dy 3.24
9 Ho 0.6396 0.8448 0.7500  1 Pr 3.10, 2 Ho 3.22-3.43, 2 Dy 3.24
10 Ho 0.6536 0.3464 0.5691  8 Ho 3.57-3.92, 3 Pr 3.75-3.78, 2 Dy 3.86
11 Ho 0.6536 0.3464 0.9309  8 Ho 3.57-3.92, 3 Pr 3.75-3.78, 2 Dy 3.86
12 Ho 0.8448 0.6396 0.2500  1 Pr 3.10, 2 Ho 3.22-3.43, 2 Dy 3.24

Summary:
magnetic moment = 0.0 μB/f.u.
symmetry = Cmcm

---

In terms of stability, entry ii leads; the second structure lies 230 meV per atom higher.

---

Entry i
Compound: Pr2Dy3Ho
Source: the Alexandria database
Functional: PBE
Structure: optimized geometry

Cell: 9.0260 9.0260 10.0980 Å, 122.96 122.96 36.20°
Last column: nearest neighbours and their distance in Å.
Fractional coordinates of all 12 atoms:
1 Pr 0.0085 0.0085 0.3586  1 Pr 3.03, 1 Dy 3.14
2 Pr 0.2701 0.2701 0.6282  3 Dy 3.41-3.72, 3 Pr 3.61-3.68, 2 Ho 3.70
3 Pr 0.7299 0.7299 0.3718  3 Dy 3.41-3.72, 3 Pr 3.61-3.68, 2 Ho 3.70
4 Pr 0.9915 0.9915 0.6414  1 Pr 3.03, 1 Dy 3.14
5 Dy 0.1130 0.1130 0.1560  4 Dy 3.31-3.57, 3 Pr 3.41, 1 Ho 3.60
6 Dy 0.2086 0.2086 0.9262  3 Dy 3.11-3.47, 1 Pr 3.14
7 Dy 0.4517 0.4517 0.1059  6 Dy 3.37-3.77, 2 Pr 3.53, 1 Ho 3.62
8 Dy 0.5483 0.5483 0.8941  6 Dy 3.37-3.77, 2 Pr 3.53, 1 Ho 3.62
9 Dy 0.7914 0.7914 0.0738  3 Dy 3.11-3.47, 1 Pr 3.14
10 Dy 0.8870 0.8870 0.8440  4 Dy 3.31-3.57, 3 Pr 3.41, 1 Ho 3.60
11 Ho 0.3669 0.3669 0.3615  5 Dy 3.60-3.70, 7 Pr 3.67-3.89, 1 Ho 3.75
12 Ho 0.6331 0.6331 0.6385  5 Dy 3.60-3.70, 7 Pr 3.67-3.89, 1 Ho 3.75

Summary:
magnetic moment = 0.0 μB/f.u.
symmetry = C2/m

---

Entry ii
Compound: Pr2Dy3Ho
Source: the Alexandria database
Functional: PBE
Structure: optimized geometry

Cell: 7.7443 7.7443 6.7055 Å, 90.26 90.26 96.00°
Last column: nearest neighbours and their distance in Å.
Fractional coordinates of all 12 atoms:
1 Pr 0.0676 0.5967 0.7521  7 Dy 3.44-3.82, 3 Pr 3.48-3.79, 2 Ho 3.62-3.64
2 Pr 0.4033 0.9324 0.7479  7 Dy 3.44-3.82, 3 Pr 3.48-3.79, 2 Ho 3.62-3.64
3 Pr 0.5967 0.0676 0.2521  7 Dy 3.44-3.82, 3 Pr 3.48-3.79, 2 Ho 3.62-3.64
4 Pr 0.9324 0.4033 0.2479  7 Dy 3.44-3.82, 3 Pr 3.48-3.79, 2 Ho 3.62-3.64
5 Dy 0.2660 0.7340 0.2500  6 Pr 3.44-3.82, 2 Ho 3.49, 4 Dy 3.61
6 Dy 0.3323 0.3343 0.5006  5 Dy 3.35-3.61, 1 Ho 3.45, 4 Pr 3.47-3.62
7 Dy 0.3343 0.3323 0.0006  5 Dy 3.35-3.61, 1 Ho 3.45, 4 Pr 3.47-3.62
8 Dy 0.6657 0.6677 0.9994  5 Dy 3.35-3.61, 1 Ho 3.45, 4 Pr 3.47-3.62
9 Dy 0.6677 0.6657 0.4994  5 Dy 3.35-3.61, 1 Ho 3.45, 4 Pr 3.47-3.62
10 Dy 0.7340 0.2660 0.7500  6 Pr 3.44-3.82, 2 Ho 3.49, 4 Dy 3.61
11 Ho 0.0000 0.0000 0.0000  2 Ho 3.35, 4 Dy 3.45-3.49, 4 Pr 3.62-3.64
12 Ho 0.0000 0.0000 0.5000  2 Ho 3.35, 4 Dy 3.45-3.49, 4 Pr 3.62-3.64

Summary:
magnetic moment = 0.0 μB/f.u.
symmetry = C2/c

---

In terms of stability, entry i leads; the second structure lies 93 meV per atom higher.

---

Entry i
Compound: Pr2Dy7Ho3
Source: the Alexandria database
Functional: PBE
Structure: optimized geometry

Cell: 6.3433 3.5197 17.4756 Å, 90.00 96.15 90.00°
Last column: nearest neighbours and their distance in Å.
Fractional coordinates of all 12 atoms:
1 Pr 0.0586 0.0000 0.1731  5 Dy 3.42-3.52, 2 Pr 3.52, 4 Ho 3.60-3.67
2 Pr 0.9414 0.0000 0.8269  5 Dy 3.42-3.52, 2 Pr 3.52, 4 Ho 3.60-3.67
3 Dy 0.0000 0.5000 0.5000  8 Dy 3.49-3.57, 4 Ho 3.63
4 Dy 0.2292 0.0000 0.6664  1 Pr 3.51, 8 Dy 3.52-3.64, 3 Ho 3.53-3.69
5 Dy 0.2567 0.0000 0.9988  2 Dy 3.08-3.26, 2 Pr 3.42-3.43
6 Dy 0.2750 0.5000 0.3375  7 Dy 3.49-3.64, 3 Ho 3.51-3.75, 2 Pr 3.52
7 Dy 0.7250 0.5000 0.6625  7 Dy 3.49-3.64, 3 Ho 3.51-3.75, 2 Pr 3.52
8 Dy 0.7433 0.0000 0.0012  2 Dy 3.08-3.26, 2 Pr 3.42-3.43
9 Dy 0.7708 0.0000 0.3336  1 Pr 3.51, 8 Dy 3.52-3.64, 3 Ho 3.53-3.69
10 Ho 0.4525 0.5000 0.8423  2 Ho 3.52, 7 Dy 3.59-3.75, 4 Pr 3.60-3.67
11 Ho 0.5000 0.0000 0.5000  10 Dy 3.51-3.63, 2 Ho 3.52
12 Ho 0.5475 0.5000 0.1577  2 Ho 3.52, 7 Dy 3.59-3.75, 4 Pr 3.60-3.67

Summary:
magnetic moment = 0.0 μB/f.u.
symmetry = P2/m

---

Entry ii
Compound: Pr2Dy7Ho3
Source: the Alexandria database
Functional: PBE
Structure: optimized geometry

Cell: 19.1504 19.1504 3.6130 Å, 90.00 90.00 162.90°
Last column: nearest neighbours and their distance in Å.
Fractional coordinates of all 12 atoms:
1 Pr 0.1472 0.8528 0.0000  3 Dy 3.16-3.42
2 Pr 0.8528 0.1472 0.0000  3 Dy 3.16-3.42
3 Dy 0.0000 0.0000 0.0000  4 Dy 3.22, 4 Ho 3.37
4 Dy 0.0705 0.9295 0.5000  6 Dy 3.22-3.44, 2 Pr 3.42
5 Dy 0.2306 0.7694 0.0000  1 Pr 3.16, 2 Dy 3.20
6 Dy 0.4111 0.5889 0.0000  6 Dy 3.44-3.61, 2 Pr 3.60, 2 Ho 3.82
7 Dy 0.5889 0.4111 0.0000  6 Dy 3.44-3.61, 2 Pr 3.60, 2 Ho 3.82
8 Dy 0.7694 0.2306 0.0000  1 Pr 3.16, 2 Dy 3.20
9 Dy 0.9295 0.0705 0.5000  6 Dy 3.22-3.44, 2 Pr 3.42
10 Ho 0.3137 0.6863 0.5000  2 Ho 3.61, 6 Dy 3.63-3.77, 4 Pr 3.68
11 Ho 0.5000 0.5000 0.5000  4 Dy 3.37, 2 Ho 3.61
12 Ho 0.6863 0.3137 0.5000  2 Ho 3.61, 6 Dy 3.63-3.77, 4 Pr 3.68

Summary:
magnetic moment = 0.0 μB/f.u.
symmetry = Cmmm

---

In terms of stability, entry i leads; the second structure lies 37 meV per atom higher.